# 1
{"formula": "Ac8Ir4Se", "functional": "PBE", "state": "relaxed", "dos_ef_per_ev_atom": 0.575, "space_group": "Cm (8)", "volume_a3_per_atom": 39.8, "energy_ev_per_atom": -6.26, "lattice": [[4.316, 0.000, 0.933], [1.962, 10.841, 1.375], [-0.125, 0.049, 11.025]], "species": ["Ac", "Ac", "Ac", "Ac", "Ac", "Ac", "Ac", "Ac", "Ir", "Ir", "Ir", "Ir", "Se"], "frac_coords": [[0.139, 0.396, 0.326], [0.540, 0.270, 0.651], [0.461, 0.714, 0.364], [0.854, 0.595, 0.697], [0.836, 0.338, 0.991], [0.211, 0.919, 0.660], [0.162, 0.653, 0.024], [0.787, 0.062, 0.363], [0.353, 0.456, 0.839], [0.842, 0.815, 0.501], [0.162, 0.170, 0.506], [0.648, 0.521, 0.183], [0.651, 0.825, 0.873]]}

=====

# 2
{"formula": "Y2AlSi", "functional": "PBE", "state": "relaxed", "dos_ef_per_ev_atom": 0.730, "space_group": "Cmm2 (35)", "volume_a3_per_atom": 23.2, "energy_ev_per_atom": -5.75, "lattice": [[-2.555, 1.987, 1.055], [-1.830, -2.769, 0.758], [3.063, 0.003, 7.408]], "species": ["Y", "Y", "Si", "Al"], "frac_coords": [[0.000, 0.000, 0.947], [0.500, 0.500, 0.298], [0.500, 0.500, 0.700], [0.000, 0.000, 0.554]]}